A relaxed structure of Tb3ThPt12, computed with GGA-PBE.

Lattice parameters (Å, degrees): 4.160 4.160 16.584 90.00 90.00 90.00
Space group P4/mmm (No. 123)
Inequivalent atoms, fractional coordinates:
Tb1 0.000 0.000 0.000 x1
Tb2 0.000 0.000 0.246 x2
Th1 0.000 0.000 0.500 x1
Pt1 0.000 0.500 0.123 x4
Pt2 0.000 0.500 0.372 x4
Pt3 0.500 0.500 0.000 x1
Pt4 0.500 0.500 0.247 x2
Pt5 0.500 0.500 0.500 x1

Values from the calculation:
* V: 17.94 Å³/atom
* energy: -6.91 eV/atom

A relaxed structure of TbThPt6, computed with GGA-PBE.

Lattice parameters (Å, degrees): 4.189 4.189 8.338 90.00 90.00 90.00
Space group P4/mmm (No. 123)
Inequivalent atoms, fractional coordinates:
Tb1 0.000 0.000 0.000 x1
Th1 0.000 0.000 0.500 x1
Pt1 0.000 0.500 0.247 x4
Pt2 0.500 0.500 0.000 x1
Pt3 0.500 0.500 0.500 x1

Values from the calculation:
* V: 18.29 Å³/atom
* energy: -7.13 eV/atom

A relaxed structure of TbThPt2, computed with GGA-PBE.

Lattice parameters (Å, degrees): 7.153 7.153 7.153 90.00 90.00 90.00
Space group Fm-3m (No. 225)
Inequivalent atoms, fractional coordinates:
Tb1 0.000 0.000 0.000 x4
Th1 0.000 0.000 0.500 x4
Pt1 0.250 0.250 0.250 x8

Values from the calculation:
* V: 22.88 Å³/atom
* energy: -7.14 eV/atom
* polymorph energy (0 for the lowest one): 174 meV per atom

A relaxed structure of TbThPt2, computed with GGA-PBE.

Lattice parameters (Å, degrees): 4.0880 4.0880 21.0317 90.00 90.00 120.00
Space group R3m (No. 160, hexagonal axes)
Inequivalent atoms, fractional coordinates:
Tb1 0.0000 0.0000 0.0000 x3
Th1 0.0000 0.0000 0.1721 x3
Pt1 0.0000 0.0000 0.5874 x3
Pt2 0.0000 0.0000 0.7528 x3

Values from the calculation:
* V: 25.37 Å³/atom
* energy: -7.20 eV/atom
* polymorph energy (0 for the lowest one): 110 meV per atom

A relaxed structure of TbThPt2, computed with GGA-PBE.

Lattice parameters (Å, degrees): 5.053 5.053 3.579 90.00 90.00 90.00
Space group P4/mmm (No. 123)
Inequivalent atoms, fractional coordinates:
Tb1 0.000 0.000 0.000 x1
Th1 0.500 0.500 0.000 x1
Pt1 0.000 0.500 0.500 x2

Values from the calculation:
* V: 22.84 Å³/atom
* energy: -7.14 eV/atom
* polymorph energy (0 for the lowest one): 168 meV per atom

A relaxed structure of TbTiPt2, computed with GGA-PBE.

Lattice parameters (Å, degrees): 3.216 3.216 7.193 90.00 90.00 90.00
Space group P4/mmm (No. 123)
Inequivalent atoms, fractional coordinates:
Tb1 0.000 0.000 0.000 x1
Ti1 0.000 0.000 0.500 x1
Pt1 0.500 0.500 0.296 x2

Values from the calculation:
* V: 18.60 Å³/atom
* energy: -7.14 eV/atom
* polymorph energy (0 for the lowest one): 13 meV per atom

A relaxed structure of TbTiPt2, computed with GGA-PBE.

Lattice parameters (Å, degrees): 4.4326 4.4326 14.1494 90.00 90.00 120.00
Space group R-3m (No. 166, hexagonal axes)
Inequivalent atoms, fractional coordinates:
Tb1 0.0000 0.0000 0.0000 x3
Ti1 0.0000 0.0000 0.5000 x3
Pt1 0.0000 0.0000 0.2135 x6

Values from the calculation:
* V: 20.06 Å³/atom
* energy: -7.16 eV/atom
* polymorph energy (0 for the lowest one): 0 meV per atom

A relaxed structure of TbTiPt6, computed with GGA-PBE.

Lattice parameters (Å, degrees): 4.040 4.040 8.084 90.00 90.00 90.00
Space group P4/mmm (No. 123)
Inequivalent atoms, fractional coordinates:
Tb1 0.000 0.000 0.000 x1
Ti1 0.000 0.000 0.500 x1
Pt1 0.000 0.500 0.266 x4
Pt2 0.500 0.500 0.000 x1
Pt3 0.500 0.500 0.500 x1

Values from the calculation:
* V: 16.49 Å³/atom
* energy: -7.05 eV/atom

A relaxed structure of Tb3TiPt12, computed with GGA-PBE.

Lattice parameters (Å, degrees): 4.084 4.084 16.350 90.00 90.00 90.00
Space group P4/mmm (No. 123)
Inequivalent atoms, fractional coordinates:
Tb1 0.000 0.000 0.000 x1
Tb2 0.000 0.000 0.254 x2
Ti1 0.000 0.000 0.500 x1
Pt1 0.000 0.500 0.128 x4
Pt2 0.000 0.500 0.386 x4
Pt3 0.500 0.500 0.000 x1
Pt4 0.500 0.500 0.257 x2
Pt5 0.500 0.500 0.500 x1

Values from the calculation:
* V: 17.04 Å³/atom
* energy: -6.87 eV/atom

A relaxed structure of Tb2TiZn2Pt5, computed with GGA-PBE.

Lattice parameters (Å, degrees): 9.711 9.711 3.747 90.00 90.00 90.00
Space group P4/mbm (No. 127)
Inequivalent atoms, fractional coordinates:
Tb1 0.174 0.326 0.000 x4
Ti1 0.000 0.000 0.000 x2
Zn1 0.124 0.624 0.000 x4
Pt1 0.000 0.500 0.500 x2
Pt2 0.061 0.800 0.500 x8

Values from the calculation:
* V: 17.66 Å³/atom
* energy: -5.90 eV/atom

A relaxed structure of Tb5Tl4Pt, computed with GGA-PBE.

Lattice parameters (Å, degrees): 3.588 3.588 20.498 90.00 90.00 90.00
Space group P4/mmm (No. 123)
Inequivalent atoms, fractional coordinates:
Tb1 0.000 0.000 0.000 x1
Tb2 0.000 0.000 0.208 x2
Tb3 0.000 0.000 0.418 x2
Tl1 0.500 0.500 0.104 x2
Tl2 0.500 0.500 0.311 x2
Pt1 0.500 0.500 0.500 x1

Values from the calculation:
* V: 26.39 Å³/atom
* energy: -4.41 eV/atom

A relaxed structure of Tb6TlPt2, computed with GGA-PBE.

Lattice parameters (Å, degrees): 9.447 9.859 10.548 90.00 90.00 90.00
Space group Immm (No. 71)
Inequivalent atoms, fractional coordinates:
Tb1 0.000 0.202 0.235 x8
Tb2 0.196 0.500 0.170 x8
Tb3 0.208 0.318 0.500 x8
Tl1 0.000 0.000 0.000 x2
Tl2 0.000 0.000 0.500 x2
Pt1 0.000 0.342 0.000 x4
Pt2 0.000 0.500 0.366 x4

Values from the calculation:
* V: 27.29 Å³/atom
* energy: -5.39 eV/atom